# SiGe2F8, relaxed, DFT PBE
data_SiGe2F8
_chemical_formula_sum 'Si2 Ge4 F16'
_space_group_name_H-M_alt 'C 1 2/m 1'
_space_group_IT_number 12
_space_group_name_Hall '-C 2y'
_cell_length_a 9.572
_cell_length_b 6.907
_cell_length_c 6.453
_cell_angle_alpha 90.00
_cell_angle_beta 126.99
_cell_angle_gamma 90.00
loop_
_atom_site_label
_atom_site_fract_x
_atom_site_fract_y
_atom_site_fract_z
Si1 0.000 0.000 0.000
Ge1 0.201 0.500 0.243
F1 0.054 0.500 0.865
F2 0.066 0.000 0.807
F3 0.154 0.175 0.196
# Uncorrected formation energy ... -2547 meV per atom
# E_tot ... -5.240 eV per atom
# Offset from the most stable computed form ... 0.000 eV per atom

# La2Sm5Th2, relaxed, DFT PBE
data_La2Sm5Th2
_chemical_formula_sum 'La2 Sm5 Th2'
_space_group_name_H-M_alt 'P -1'
_space_group_IT_number 2
_space_group_name_Hall '-P 1'
_cell_length_a 6.275
_cell_length_b 6.315
_cell_length_c 8.154
_cell_angle_alpha 75.12
_cell_angle_beta 82.84
_cell_angle_gamma 80.24
loop_
_atom_site_label
_atom_site_fract_x
_atom_site_fract_y
_atom_site_fract_z
La1 0.053 0.279 0.390
Sm1 0.277 0.385 0.946
Sm2 0.388 0.951 0.730
Sm3 0.500 0.500 0.500
Th1 0.160 0.838 0.162
# E_tot ... -5.317 eV per atom

# NdDyMgTl, relaxed, DFT PBE
data_NdDyMgTl
_chemical_formula_sum 'Nd4 Dy4 Mg4 Tl4'
_space_group_name_H-M_alt 'F -4 3 m'
_space_group_IT_number 216
_space_group_name_Hall 'F -4 2 3'
_cell_length_a 7.667
_cell_length_b 7.667
_cell_length_c 7.667
_cell_angle_alpha 90.00
_cell_angle_beta 90.00
_cell_angle_gamma 90.00
loop_
_atom_site_label
_atom_site_fract_x
_atom_site_fract_y
_atom_site_fract_z
Nd1 0.000 0.000 0.000
Dy1 0.000 0.000 0.500
Mg1 0.250 0.250 0.750
Tl1 0.250 0.250 0.250
# E_tot ... -3.579 eV per atom

# Na2NdSm3Te6, relaxed, DFT PBE
data_Na2NdSm3Te6
_chemical_formula_sum 'Na4 Nd2 Sm6 Te12'
_space_group_name_H-M_alt 'C 1 2/m 1'
_space_group_IT_number 12
_space_group_name_Hall '-C 2y'
_cell_length_a 7.740
_cell_length_b 13.401
_cell_length_c 7.842
_cell_angle_alpha 90.00
_cell_angle_beta 109.18
_cell_angle_gamma 90.00
loop_
_atom_site_label
_atom_site_fract_x
_atom_site_fract_y
_atom_site_fract_z
Na1 0.000 0.166 0.000
Nd1 0.000 0.500 0.000
Sm1 0.000 0.000 0.500
Sm2 0.000 0.332 0.500
Te1 0.249 0.167 0.748
Te2 0.249 0.500 0.746
# Uncorrected formation energy ... -1357 meV per atom
# E_tot ... -4.725 eV per atom

# BeCdCu, relaxed, DFT PBE
data_BeCdCu
_chemical_formula_sum 'Be4 Cd4 Cu4'
_space_group_name_H-M_alt 'I m m a'
_space_group_IT_number 74
_space_group_name_Hall '-I 2b 2'
_cell_length_a 4.815
_cell_length_b 4.994
_cell_length_c 6.690
_cell_angle_alpha 90.00
_cell_angle_beta 90.00
_cell_angle_gamma 90.00
loop_
_atom_site_label
_atom_site_fract_x
_atom_site_fract_y
_atom_site_fract_z
Be1 0.250 0.250 0.250
Cd1 0.000 0.250 0.621
Cu1 0.000 0.000 0.000
# E_tot ... -2.878 eV per atom
# Offset from the most stable computed form ... 0.000 eV per atom

# Ca2ZnIr, relaxed, DFT PBE
data_Ca2ZnIr
_chemical_formula_sum 'Ca6 Zn3 Ir3'
_space_group_name_H-M_alt 'R -3 m'
_space_group_IT_number 166
_space_group_name_Hall '-R 3 2"'
_cell_length_a 3.5071
_cell_length_b 3.5071
_cell_length_c 27.1949
_cell_angle_alpha 90.00
_cell_angle_beta 90.00
_cell_angle_gamma 120.00
loop_
_atom_site_label
_atom_site_fract_x
_atom_site_fract_y
_atom_site_fract_z
Ca1 0.0000 0.0000 0.2409
Zn1 0.0000 0.0000 0.0000
Ir1 0.0000 0.0000 0.5000
# E_tot ... -3.443 eV per atom